## SrZrSn3 (GGA-PBE)

Data for a relaxed structure of SrZrSn3.

a = 5.565 Å, b = 5.565 Å, c = 5.565 Å
α = 90.00°, β = 90.00°, γ = 90.00°
Fractional coordinates of all 5 atoms:
Sr 0.500 0.500 0.500
Sn 0.000 0.500 0.000
Sn 0.000 0.000 0.500
Sn 0.500 0.000 0.000
Zr 0.000 0.000 0.000

DFT total energy = -23.18 eV for the cell shown
Space-group type = Pm-3m, No. 221
DOS(E_F) = 2.09 states/eV per cell
Offset from the most stable computed form = 0 meV per atom